Entry 1:
A plane-wave DFT calculation with PBE was carried out for crystalline TbNd2Ag2Pb2 at its relaxed geometry.

abc: 9.3132 9.3132 9.3132
angles: 30.96 30.96 30.96
With the nearest neighbours (Å) after each atom.
Sites, in units of the cell vectors:
Tb1 0.0000 0.0000 0.0000  6 Pb 3.32, 2 Nd 3.60
Nd1 0.1356 0.1356 0.1356  3 Ag 3.00, 3 Nd 3.31
Nd2 0.8644 0.8644 0.8644  3 Ag 3.00, 3 Nd 3.31
Ag1 0.4355 0.4355 0.4355  3 Nd 3.00, 3 Pb 3.06
Ag2 0.5645 0.5645 0.5645  3 Nd 3.00, 3 Pb 3.06
Pb1 0.2707 0.2707 0.2707  3 Ag 3.06, 3 Tb 3.32
Pb2 0.7293 0.7293 0.7293  3 Ag 3.06, 3 Tb 3.32

Computed properties:
Density of states at the Fermi level (states/eV/f.u.): 3.371
Symmetry: No. 166
Total magnetization (Bohr magnetons per cell): 0.000
ΔH_f (0 K) (eV per atom): -0.26

---

Entry 2:
A plane-wave DFT calculation with PBE was carried out for crystalline BaAcAs2Pd4 at its relaxed geometry.

abc: 4.4782 4.4782 9.9786
angles: 90.00 90.00 90.00
With the nearest neighbours (Å) after each atom.
Sites, in units of the cell vectors:
Ba1 0.0000 0.0000 0.0000  8 Pd 3.62, 8 As 3.65
Ac1 0.0000 0.0000 0.5000  8 Pd 3.10
As1 0.5000 0.5000 0.1818  4 Pd 2.46
As2 0.5000 0.5000 0.8182  4 Pd 2.46
Pd1 0.0000 0.5000 0.2849  2 As 2.46
Pd2 0.0000 0.5000 0.7151  2 As 2.46
Pd3 0.5000 0.0000 0.2849  2 As 2.46
Pd4 0.5000 0.0000 0.7151  2 As 2.46

Computed properties:
Density of states at the Fermi level (states/eV/f.u.): 5.094
Symmetry: No. 123
Total magnetization (Bohr magnetons per cell): 0.000
ΔH_f (0 K) (eV per atom): -0.70

---

Entry 3:
A plane-wave DFT calculation with PBE was carried out for crystalline SrLa2Pd at its relaxed geometry.

abc: 7.2568 7.2568 7.2568
angles: 103.03 103.03 123.30
With the nearest neighbours (Å) after each atom.
Sites, in units of the cell vectors:
Sr1 0.0000 0.0000 0.0000  2 Pd 3.45, 8 La 3.79
Sr2 0.7500 0.2500 0.5000  2 Pd 3.45, 8 La 3.79
La1 0.1976 0.6250 0.0726  2 Pd 2.90
La2 0.3750 0.4476 0.5726  2 Pd 2.90
La3 0.5524 0.1250 0.9274  2 Pd 2.90
La4 0.8750 0.8024 0.4274  2 Pd 2.90
Pd1 0.2500 0.7500 0.5000  4 La 2.90
Pd2 0.5000 0.5000 0.0000  4 La 2.90

Computed properties:
Density of states at the Fermi level (states/eV/f.u.): 4.983
Symmetry: No. 122
E above lowest polymorph (eV/atom): 0.1445
Total magnetization (Bohr magnetons per cell): 0.000
ΔH_f (0 K) (eV per atom): -0.20

---

Entry 4:
A plane-wave DFT calculation with PBE was carried out for crystalline LaSm5Dy3 at its relaxed geometry.

abc: 9.8897 9.8897 11.3325
angles: 111.71 111.71 37.94
With the nearest neighbours (Å) after each atom.
Sites, in units of the cell vectors:
La1 0.1406 0.8594 0.7500  2 Dy 2.97, 1 Sm 2.98
La2 0.8594 0.1406 0.2500  2 Dy 2.97, 1 Sm 2.98
Sm1 0.0100 0.6506 0.1323  4 Sm 3.24-3.54, 1 Dy 3.54, 1 La 3.58
Sm2 0.1252 0.5369 0.7920  4 Dy 3.37-3.65, 2 Sm 3.45-3.54, 1 La 3.52
Sm3 0.3494 0.9900 0.3677  4 Sm 3.24-3.54, 1 Dy 3.54, 1 La 3.58
Sm4 0.3957 0.6043 0.2500  1 La 2.98, 2 Sm 3.24
Sm5 0.4631 0.8748 0.7080  4 Dy 3.37-3.65, 2 Sm 3.45-3.54, 1 La 3.52
Sm6 0.5369 0.1252 0.2920  4 Dy 3.37-3.65, 2 Sm 3.45-3.54, 1 La 3.52
Sm7 0.6043 0.3957 0.7500  1 La 2.98, 2 Sm 3.24
Sm8 0.6506 0.0100 0.6323  4 Sm 3.24-3.54, 1 Dy 3.54, 1 La 3.58
Sm9 0.8748 0.4631 0.2080  4 Dy 3.37-3.65, 2 Sm 3.45-3.54, 1 La 3.52
Sm10 0.9900 0.3494 0.8677  4 Sm 3.24-3.54, 1 Dy 3.54, 1 La 3.58
Dy1 0.0000 0.0000 0.0000  2 La 2.97
Dy2 0.0000 0.0000 0.5000  2 La 2.97
Dy3 0.1387 0.5367 0.4847  5 Sm 3.37-3.76, 1 La 3.49, 2 Dy 3.49-3.55
Dy4 0.4633 0.8613 0.0153  5 Sm 3.37-3.76, 1 La 3.49, 2 Dy 3.49-3.55
Dy5 0.5367 0.1387 0.9847  5 Sm 3.37-3.76, 1 La 3.49, 2 Dy 3.49-3.55
Dy6 0.8613 0.4633 0.5153  5 Sm 3.37-3.76, 1 La 3.49, 2 Dy 3.49-3.55

Computed properties:
Density of states at the Fermi level (states/eV/f.u.): 13.152
Symmetry: No. 15
E above lowest polymorph (eV/atom): 0.0000
Total magnetization (Bohr magnetons per cell): 0.000
ΔH_f (0 K) (eV per atom): 0.29

---

Entry 5:
A plane-wave DFT calculation with PBE was carried out for crystalline Be3IrO at its relaxed geometry.

abc: 4.1715 4.1715 4.1715
angles: 90.00 90.00 90.00
With the nearest neighbours (Å) after each atom.
Sites, in units of the cell vectors:
Be1 0.0000 0.0000 0.5000  2 Ir 2.09
Be2 0.0000 0.5000 0.0000  2 Ir 2.09
Be3 0.5000 0.0000 0.0000  2 Ir 2.09
Ir1 0.0000 0.0000 0.0000  6 Be 2.09
O1 0.5000 0.5000 0.5000  12 Be 2.95

Computed properties:
Formation energy from raw total energies (eV per atom): 0.7835
Density of states at the Fermi level (states/eV/f.u.): 2.809
Symmetry: No. 221
E above lowest polymorph (eV/atom): 1.5201
Total magnetization (Bohr magnetons per cell): 0.000

---

Entry 6:
A plane-wave DFT calculation with PBE was carried out for crystalline TlP2CCl at its relaxed geometry.

abc: 3.9895 3.9895 7.5493
angles: 90.00 90.00 90.00
With the nearest neighbours (Å) after each atom.
Sites, in units of the cell vectors:
Tl1 0.0000 0.0000 0.0000  4 Cl 2.82
P1 0.0000 0.5000 0.5000  2 C 1.99
P2 0.5000 0.0000 0.5000  2 C 1.99
C1 0.5000 0.5000 0.5000  4 P 1.99
Cl1 0.5000 0.5000 0.0000  4 Tl 2.82

Computed properties:
Formation energy from raw total energies (eV per atom): 0.7939
Density of states at the Fermi level (states/eV/f.u.): 3.309
Symmetry: No. 123
E above lowest polymorph (eV/atom): 0.0000
Total magnetization (Bohr magnetons per cell): 0.262